# 1
The following is a GGA-PBE calculation of an optimized crystal structure of NdYScHg, from Alexandria.

energy relative to the elements = -0.09 eV per atom
N(E_F) = 5.75 states/eV/cell
density = 7.2 g/cm3

Cell lengths 5.386, 5.386, 5.386 Å; angles 60.00, 60.00, 60.00 degrees
Sites, in units of the cell vectors:
1 Nd 0.000 0.000 0.000
2 Y 0.500 0.500 0.500
3 Sc 0.250 0.250 0.250
4 Hg 0.750 0.750 0.750


# 2
The following is a GGA-PBE calculation of an optimized crystal structure of MnAsRh, from Alexandria.

energy relative to the elements = 0.03 eV per atom
N(E_F) = 3.00 states/eV/cell
density = 8.7 g/cm3

Cell lengths 2.920, 2.920, 5.989 Å; angles 90.00, 90.00, 120.00 degrees
Sites, in units of the cell vectors:
1 Mn 0.000 0.000 0.000
2 As 0.333 0.667 0.673
3 Rh 0.667 0.333 0.338


# 3
The following is a GGA-PBE calculation of an optimized crystal structure of ZrBe2Pd2, from Alexandria.

energy relative to the elements = -0.46 eV per atom
N(E_F) = 6.04 states/eV/cell
polymorph energy (0 for the lowest one) = 0.0 meV per atom
density = 7.8 g/cm3

Cell lengths 7.019, 7.019, 2.786 Å; angles 90.00, 90.00, 90.00 degrees
Sites, in units of the cell vectors:
1 Zr 0.000 0.000 0.000
2 Zr 0.500 0.500 0.000
3 Be 0.114 0.386 0.000
4 Be 0.386 0.886 0.000
5 Be 0.614 0.114 0.000
6 Be 0.886 0.614 0.000
7 Pd 0.175 0.675 0.500
8 Pd 0.325 0.175 0.500
9 Pd 0.675 0.825 0.500
10 Pd 0.825 0.325 0.500


# 4
The following is a GGA-PBE calculation of an optimized crystal structure of CaY2Pt2, from Alexandria.

energy relative to the elements = -1.00 eV per atom
N(E_F) = 11.38 states/eV/cell
polymorph energy (0 for the lowest one) = 0.0 meV per atom
density = 8.4 g/cm3

Cell lengths 7.891, 7.891, 3.880 Å; angles 90.00, 90.00, 90.00 degrees
Sites, in units of the cell vectors:
1 Ca 0.000 0.000 0.000
2 Ca 0.500 0.500 0.000
3 Y 0.157 0.343 0.500
4 Y 0.343 0.843 0.500
5 Y 0.657 0.157 0.500
6 Y 0.843 0.657 0.500
7 Pt 0.137 0.637 0.000
8 Pt 0.363 0.137 0.000
9 Pt 0.637 0.863 0.000
10 Pt 0.863 0.363 0.000


# 5
The following is a GGA-PBE calculation of an optimized crystal structure of TiAsIN2, from Alexandria.

N(E_F) = 5.60 states/eV/cell
polymorph energy (0 for the lowest one) = 718.3 meV per atom
formation energy without anion corrections = 1.41 eV/atom
density = 5.0 g/cm3

Cell lengths 3.833, 3.833, 6.278 Å; angles 90.00, 90.00, 90.00 degrees
Sites, in units of the cell vectors:
1 Ti 0.000 0.000 0.000
2 As 0.500 0.500 0.500
3 I 0.500 0.500 0.000
4 N 0.000 0.500 0.500
5 N 0.500 0.000 0.500